Record 1
A relaxed In12Ga5As3 crystal, computed with PBE.

```
data_In12Ga5As3
_chemical_formula_sum 'In96 Ga40 As24'
_cell_length_a 16.572
_cell_length_b 16.572
_cell_length_c 16.572
_cell_angle_alpha 90.00
_cell_angle_beta 90.00
_cell_angle_gamma 90.00
_symmetry_space_group_name_H-M 'I a -3 d'
_symmetry_Int_Tables_number 230
_symmetry_space_group_name_Hall '-I 4bd 2c 3'
loop_
_atom_site_label
_atom_site_fract_x
_atom_site_fract_y
_atom_site_fract_z
In1 0.022 0.076 0.650
Ga1 0.000 0.000 0.000
Ga2 0.000 0.250 0.375
As1 0.000 0.250 0.125
```

Energy   -2.961 eV/atom
Total magnetic moment   0.000 μB/atom
Fermi-level density of states   68.40 states/eV/cell

Record 2
A relaxed InGa2As crystal, computed with PBE.

```
data_InGa2As
_chemical_formula_sum 'In4 Ga8 As4'
_cell_length_a 6.988
_cell_length_b 6.988
_cell_length_c 6.988
_cell_angle_alpha 90.00
_cell_angle_beta 90.00
_cell_angle_gamma 90.00
_symmetry_space_group_name_H-M 'F m -3 m'
_symmetry_Int_Tables_number 225
_symmetry_space_group_name_Hall '-F 4 2 3'
loop_
_atom_site_label
_atom_site_fract_x
_atom_site_fract_y
_atom_site_fract_z
In1 0.000 0.000 0.000
Ga1 0.250 0.250 0.250
As1 0.000 0.000 0.500
```

Energy   -3.248 eV/atom
Total magnetic moment   0.000 μB/atom
Fermi-level density of states   7.30 states/eV/cell

Record 3
A relaxed In2GaAs crystal, computed with PBE.

```
data_In2GaAs
_chemical_formula_sum 'In8 Ga4 As4'
_cell_length_a 7.219
_cell_length_b 7.219
_cell_length_c 7.219
_cell_angle_alpha 90.00
_cell_angle_beta 90.00
_cell_angle_gamma 90.00
_symmetry_space_group_name_H-M 'F m -3 m'
_symmetry_Int_Tables_number 225
_symmetry_space_group_name_Hall '-F 4 2 3'
loop_
_atom_site_label
_atom_site_fract_x
_atom_site_fract_y
_atom_site_fract_z
In1 0.250 0.250 0.250
Ga1 0.000 0.000 0.000
As1 0.000 0.000 0.500
```

Energy   -3.183 eV/atom
Total magnetic moment   0.000 μB/atom
Fermi-level density of states   9.29 states/eV/cell

Record 4
A relaxed InGa2As crystal, computed with PBE.

```
data_InGa2As
_chemical_formula_sum 'In4 Ga8 As4'
_cell_length_a 6.317
_cell_length_b 6.317
_cell_length_c 10.962
_cell_angle_alpha 90.00
_cell_angle_beta 90.00
_cell_angle_gamma 90.00
_symmetry_space_group_name_H-M 'I -4 2 d'
_symmetry_Int_Tables_number 122
_symmetry_space_group_name_Hall 'I -4 2bw'
loop_
_atom_site_label
_atom_site_fract_x
_atom_site_fract_y
_atom_site_fract_z
In1 0.000 0.000 0.000
Ga1 0.218 0.250 0.625
As1 0.000 0.000 0.500
```

Energy   -3.329 eV/atom
Total magnetic moment   0.000 μB/atom
Fermi-level density of states   1.32 states/eV/cell

Record 5
A relaxed InGa2As2 crystal, computed with PBE.

```
data_InGa2As2
_chemical_formula_sum 'In2 Ga4 As4'
_cell_length_a 4.218
_cell_length_b 4.218
_cell_length_c 13.506
_cell_angle_alpha 90.00
_cell_angle_beta 90.00
_cell_angle_gamma 90.00
_symmetry_space_group_name_H-M 'I 4/m m m'
_symmetry_Int_Tables_number 139
_symmetry_space_group_name_Hall '-I 4 2'
loop_
_atom_site_label
_atom_site_fract_x
_atom_site_fract_y
_atom_site_fract_z
In1 0.000 0.000 0.000
Ga1 0.000 0.500 0.250
As1 0.000 0.000 0.367
```

Energy   -3.644 eV/atom
Total magnetic moment   0.000 μB/atom
Fermi-level density of states   2.86 states/eV/cell

Record 6
A relaxed In3GaAs crystal, computed with PBE.

```
data_In3GaAs
_chemical_formula_sum 'In3 Ga1 As1'
_cell_length_a 5.240
_cell_length_b 5.240
_cell_length_c 5.240
_cell_angle_alpha 90.00
_cell_angle_beta 90.00
_cell_angle_gamma 90.00
_symmetry_space_group_name_H-M 'P m -3 m'
_symmetry_Int_Tables_number 221
_symmetry_space_group_name_Hall '-P 4 2 3'
loop_
_atom_site_label
_atom_site_fract_x
_atom_site_fract_y
_atom_site_fract_z
In1 0.000 0.000 0.500
Ga1 0.000 0.000 0.000
As1 0.500 0.500 0.500
```

Energy   -2.782 eV/atom
Total magnetic moment   0.000 μB/atom
Fermi-level density of states   3.45 states/eV/cell

Record 7
A relaxed In3GaAs crystal, computed with PBE.

```
data_In3GaAs
_chemical_formula_sum 'In3 Ga1 As1'
_cell_length_a 5.413
_cell_length_b 5.413
_cell_length_c 5.413
_cell_angle_alpha 90.00
_cell_angle_beta 90.00
_cell_angle_gamma 90.00
_symmetry_space_group_name_H-M 'P m -3 m'
_symmetry_Int_Tables_number 221
_symmetry_space_group_name_Hall '-P 4 2 3'
loop_
_atom_site_label
_atom_site_fract_x
_atom_site_fract_y
_atom_site_fract_z
In1 0.000 0.000 0.500
Ga1 0.500 0.500 0.500
As1 0.000 0.000 0.000
```

Energy   -2.764 eV/atom
Total magnetic moment   0.000 μB/atom
Fermi-level density of states   3.16 states/eV/cell

Record 8
A relaxed InGa2As2 crystal, computed with PBE.

```
data_InGa2As2
_chemical_formula_sum 'In2 Ga4 As4'
_cell_length_a 4.869
_cell_length_b 4.869
_cell_length_c 9.366
_cell_angle_alpha 90.00
_cell_angle_beta 90.00
_cell_angle_gamma 90.00
_symmetry_space_group_name_H-M 'I 4/m m m'
_symmetry_Int_Tables_number 139
_symmetry_space_group_name_Hall '-I 4 2'
loop_
_atom_site_label
_atom_site_fract_x
_atom_site_fract_y
_atom_site_fract_z
In1 0.000 0.000 0.000
Ga1 0.000 0.000 0.365
As1 0.000 0.500 0.250
```

Energy   -3.605 eV/atom
Total magnetic moment   0.000 μB/atom
Fermi-level density of states   2.88 states/eV/cell

Record 9
A relaxed InGa3As crystal, computed with PBE.

```
data_InGa3As
_chemical_formula_sum 'In1 Ga3 As1'
_cell_length_a 5.192
_cell_length_b 5.192
_cell_length_c 5.192
_cell_angle_alpha 90.00
_cell_angle_beta 90.00
_cell_angle_gamma 90.00
_symmetry_space_group_name_H-M 'P m -3 m'
_symmetry_Int_Tables_number 221
_symmetry_space_group_name_Hall '-P 4 2 3'
loop_
_atom_site_label
_atom_site_fract_x
_atom_site_fract_y
_atom_site_fract_z
In1 0.000 0.000 0.000
Ga1 0.000 0.000 0.500
As1 0.500 0.500 0.500
```

Energy   -2.657 eV/atom
Total magnetic moment   0.000 μB/atom
Fermi-level density of states   3.20 states/eV/cell

Record 10
A relaxed InGa2As2 crystal, computed with PBE.

```
data_InGa2As2
_chemical_formula_sum 'In2 Ga4 As4'
_cell_length_a 8.205
_cell_length_b 8.205
_cell_length_c 3.153
_cell_angle_alpha 90.00
_cell_angle_beta 90.00
_cell_angle_gamma 90.00
_symmetry_space_group_name_H-M 'P 4/m b m'
_symmetry_Int_Tables_number 127
_symmetry_space_group_name_Hall '-P 4 2ab'
loop_
_atom_site_label
_atom_site_fract_x
_atom_site_fract_y
_atom_site_fract_z
In1 0.000 0.000 0.000
Ga1 0.136 0.364 0.500
As1 0.163 0.663 0.000
```

Energy   -3.549 eV/atom
Total magnetic moment   0.000 μB/atom
Fermi-level density of states   3.41 states/eV/cell

Record 11
A relaxed In2GaAs2 crystal, computed with PBE.

```
data_In2GaAs2
_chemical_formula_sum 'In4 Ga2 As4'
_cell_length_a 5.103
_cell_length_b 5.103
_cell_length_c 10.107
_cell_angle_alpha 90.00
_cell_angle_beta 90.00
_cell_angle_gamma 90.00
_symmetry_space_group_name_H-M 'I 4/m m m'
_symmetry_Int_Tables_number 139
_symmetry_space_group_name_Hall '-I 4 2'
loop_
_atom_site_label
_atom_site_fract_x
_atom_site_fract_y
_atom_site_fract_z
In1 0.000 0.000 0.138
Ga1 0.000 0.000 0.500
As1 0.000 0.500 0.250
```

Energy   -3.405 eV/atom
Total magnetic moment   0.000 μB/atom
Fermi-level density of states   4.35 states/eV/cell

Record 12
A relaxed InGaAsN2 crystal, computed with PBE.

```
data_InGaAsN2
_chemical_formula_sum 'In1 Ga1 As1 N2'
_cell_length_a 3.950
_cell_length_b 3.950
_cell_length_c 5.191
_cell_angle_alpha 90.00
_cell_angle_beta 90.00
_cell_angle_gamma 90.00
_symmetry_space_group_name_H-M 'P 4/m m m'
_symmetry_Int_Tables_number 123
_symmetry_space_group_name_Hall '-P 4 2'
loop_
_atom_site_label
_atom_site_fract_x
_atom_site_fract_y
_atom_site_fract_z
In1 0.000 0.000 0.000
Ga1 0.500 0.500 0.000
As1 0.500 0.500 0.500
N1 0.000 0.500 0.500
```

Energy relative to the elements, uncorrected   1.17 eV/atom
Total magnetic moment   0.000 μB/atom
Fermi-level density of states   3.40 states/eV/cell

- Which formula does entry 1 have?
  In12Ga5As3

- Number 8 is which compound?
  InGa2As2